No. 1
# PBE-GGA KYAs, relaxed
data_KYAs
_space_group_name_H-M_alt 'P 1'
_space_group_IT_number 1
_cell_length_a 5.050
_cell_length_b 5.050
_cell_length_c 5.050
_cell_angle_alpha 60.00
_cell_angle_beta 60.00
_cell_angle_gamma 60.00
loop_
_space_group_symop_operation_xyz
'x,y,z'
loop_
_atom_site_label
_atom_site_fract_x
_atom_site_fract_y
_atom_site_fract_z
As1 0.750 0.750 0.750
Y1 0.500 0.500 0.500
K1 0.000 0.000 0.000
# SG: F-43m (216)
# D(E_F) (states/eV per atom): 0.487
# E (eV/cell): -13.444
# Energy of formation (eV per atom): -0.411


No. 2
# PBE-GGA Sc5Sn2H, relaxed
data_Sc5Sn2H
_space_group_name_H-M_alt 'P 1'
_space_group_IT_number 1
_cell_length_a 6.400
_cell_length_b 6.400
_cell_length_c 6.202
_cell_angle_alpha 121.07
_cell_angle_beta 121.07
_cell_angle_gamma 89.98
loop_
_space_group_symop_operation_xyz
'x,y,z'
loop_
_atom_site_label
_atom_site_fract_x
_atom_site_fract_y
_atom_site_fract_z
Sc1 0.255 0.255 0.006
Sc2 0.751 0.751 0.006
Sc3 0.751 0.255 0.006
Sc4 0.255 0.751 0.006
Sc5 0.758 0.758 0.516
Sn1 0.253 0.753 0.506
Sn2 0.753 0.253 0.506
H1 0.000 0.000 0.001
# SG: I4mm (107)
# D(E_F) (states/eV per atom): 0.895
# E (eV/cell): -46.199


No. 3
# PBE-GGA Sc8Co2S, relaxed
data_Sc8Co2S
_space_group_name_H-M_alt 'P 1'
_space_group_IT_number 1
_cell_length_a 3.479
_cell_length_b 7.998
_cell_length_c 8.409
_cell_angle_alpha 98.00
_cell_angle_beta 101.94
_cell_angle_gamma 90.00
loop_
_space_group_symop_operation_xyz
'x,y,z'
loop_
_atom_site_label
_atom_site_fract_x
_atom_site_fract_y
_atom_site_fract_z
Sc1 0.338 0.020 0.677
Sc2 0.599 0.565 0.199
Sc3 0.662 0.980 0.323
Sc4 0.010 0.224 0.019
Sc5 0.210 0.333 0.420
Sc6 0.401 0.435 0.801
Sc7 0.790 0.667 0.580
Sc8 0.990 0.776 0.981
Co1 0.190 0.754 0.380
Co2 0.810 0.246 0.620
S1 0.500 0.000 0.000
# SG: C2/m (12)
# D(E_F) (states/eV per atom): 1.268
# E (eV/cell): -74.017
# Raw formation energy (eV per atom): -0.457


No. 4
# PBE-GGA PmPdRh, relaxed
data_PmPdRh
_space_group_name_H-M_alt 'P 1'
_space_group_IT_number 1
_cell_length_a 3.580
_cell_length_b 3.580
_cell_length_c 5.240
_cell_angle_alpha 109.97
_cell_angle_beta 109.97
_cell_angle_gamma 90.00
loop_
_space_group_symop_operation_xyz
'x,y,z'
loop_
_atom_site_label
_atom_site_fract_x
_atom_site_fract_y
_atom_site_fract_z
Rh1 0.281 0.281 0.562
Pm1 0.946 0.946 0.893
Pd1 0.623 0.623 0.245
# SG: I4mm (107)
# D(E_F) (states/eV per atom): 0.921
# E (eV/cell): -18.625
# E above lowest polymorph (meV/atom): 252
# Energy of formation (eV per atom): -0.443


The lowest E belongs to which entry? Sc8Co2S


Number 4 is which compound? PmPdRh